# TaCo3 GGA-PBEsol relaxed
# - Crystal system: cubic
# - Formation energy: 887.3 kJ/mol of formula units
data_TaCo3
_cell_length_a 4.464
_cell_length_b 4.464
_cell_length_c 4.464
_cell_angle_alpha 90.00
_cell_angle_beta 90.00
_cell_angle_gamma 90.00
_symmetry_space_group_name_H-M 'P m -3 m'
_symmetry_Int_Tables_number 221
_symmetry_space_group_name_Hall '-P 4 2 3'
loop_
_atom_site_label
_atom_site_fract_x
_atom_site_fract_y
_atom_site_fract_z
Ta1 0.000 0.000 0.000
Co1 0.000 0.000 0.500

# Ta6Co7 GGA-PBEsol relaxed
# - Crystal system: trigonal
# - Formation energy: -349.9 kJ/mol of formula units
data_Ta6Co7
_cell_length_a 4.7990
_cell_length_b 4.7990
_cell_length_c 25.8208
_cell_angle_alpha 90.00
_cell_angle_beta 90.00
_cell_angle_gamma 120.00
_symmetry_space_group_name_H-M 'R -3 m'
_symmetry_Int_Tables_number 166
_symmetry_space_group_name_Hall '-R 3 2"'
loop_
_atom_site_label
_atom_site_fract_x
_atom_site_fract_y
_atom_site_fract_z
Ta1 0.0000 0.0000 0.0512
Ta2 0.0000 0.0000 0.1571
Ta3 0.0000 0.0000 0.3357
Co1 0.0000 0.0000 0.5000
Co2 0.0031 0.5015 0.0907

# TaCo3 GGA-PBEsol relaxed
# - Crystal system: hexagonal
# - Formation energy: -104.3 kJ/mol of formula units
data_TaCo3
_cell_length_a 5.1002
_cell_length_b 5.1002
_cell_length_c 4.0907
_cell_angle_alpha 90.00
_cell_angle_beta 90.00
_cell_angle_gamma 120.00
_symmetry_space_group_name_H-M 'P 63/m m c'
_symmetry_Int_Tables_number 194
_symmetry_space_group_name_Hall '-P 6c 2c'
loop_
_atom_site_label
_atom_site_fract_x
_atom_site_fract_y
_atom_site_fract_z
Ta1 0.3333 0.6667 0.2500
Co1 0.1577 0.3153 0.7500

# TaCo7 GGA-PBEsol relaxed
# - Crystal system: cubic
# - Formation energy: -17.9 kJ/mol of formula units
data_TaCo7
_cell_length_a 7.082
_cell_length_b 7.082
_cell_length_c 7.082
_cell_angle_alpha 90.00
_cell_angle_beta 90.00
_cell_angle_gamma 90.00
_symmetry_space_group_name_H-M 'F m -3 m'
_symmetry_Int_Tables_number 225
_symmetry_space_group_name_Hall '-F 4 2 3'
loop_
_atom_site_label
_atom_site_fract_x
_atom_site_fract_y
_atom_site_fract_z
Ta1 0.000 0.000 0.000
Co1 0.000 0.000 0.500
Co2 0.000 0.250 0.250

# TaCoTc2 GGA-PBEsol relaxed
# - Crystal system: tetragonal
# - Excess energy over the best structure of this formula in the dataset: 0.051 eV per formula unit
# - Formation energy: -0.5 kJ/mol of formula units
data_TaCoTc2
_cell_length_a 4.199
_cell_length_b 4.199
_cell_length_c 3.179
_cell_angle_alpha 90.00
_cell_angle_beta 90.00
_cell_angle_gamma 90.00
_symmetry_space_group_name_H-M 'P 4/m m m'
_symmetry_Int_Tables_number 123
_symmetry_space_group_name_Hall '-P 4 2'
loop_
_atom_site_label
_atom_site_fract_x
_atom_site_fract_y
_atom_site_fract_z
Ta1 0.000 0.000 0.000
Co1 0.500 0.500 0.000
Tc1 0.000 0.500 0.500

# TaCo2Tc GGA-PBEsol relaxed
# - Crystal system: trigonal
# - Formation energy: 84.6 kJ/mol of formula units
data_TaCo2Tc
_cell_length_a 2.6712
_cell_length_b 2.6712
_cell_length_c 25.3949
_cell_angle_alpha 90.00
_cell_angle_beta 90.00
_cell_angle_gamma 120.00
_symmetry_space_group_name_H-M 'R -3 m'
_symmetry_Int_Tables_number 166
_symmetry_space_group_name_Hall '-R 3 2"'
loop_
_atom_site_label
_atom_site_fract_x
_atom_site_fract_y
_atom_site_fract_z
Ta1 0.0000 0.0000 0.0000
Co1 0.0000 0.0000 0.2465
Tc1 0.0000 0.0000 0.5000

# TaCo4Tc GGA-PBEsol relaxed
# - Crystal system: cubic
# - Formation energy: -69.7 kJ/mol of formula units
data_TaCo4Tc
_cell_length_a 6.559
_cell_length_b 6.559
_cell_length_c 6.559
_cell_angle_alpha 90.00
_cell_angle_beta 90.00
_cell_angle_gamma 90.00
_symmetry_space_group_name_H-M 'F -4 3 m'
_symmetry_Int_Tables_number 216
_symmetry_space_group_name_Hall 'F -4 2 3'
loop_
_atom_site_label
_atom_site_fract_x
_atom_site_fract_y
_atom_site_fract_z
Ta1 0.000 0.000 0.000
Co1 0.124 0.124 0.624
Tc1 0.250 0.250 0.250

# TaCoTc2 GGA-PBEsol relaxed
# - Crystal system: tetragonal
# - Excess energy over the best structure of this formula in the dataset: 0.000 eV per formula unit
# - Formation energy: -5.4 kJ/mol of formula units
data_TaCoTc2
_cell_length_a 3.141
_cell_length_b 3.141
_cell_length_c 5.660
_cell_angle_alpha 90.00
_cell_angle_beta 90.00
_cell_angle_gamma 90.00
_symmetry_space_group_name_H-M 'P 4 m m'
_symmetry_Int_Tables_number 99
loop_
_symmetry_equiv_pos_as_xyz
'x,y,z'
'-y,x,z'
'-x,-y,z'
'y,-x,z'
'-x,y,z'
'y,x,z'
'x,-y,z'
'-y,-x,z'
loop_
_atom_site_label
_atom_site_fract_x
_atom_site_fract_y
_atom_site_fract_z
Ta1 0.000 0.000 0.000
Co1 0.500 0.500 0.790
Tc1 0.000 0.000 0.524
Tc2 0.500 0.500 0.294

# TaTlCo2Tc GGA-PBEsol relaxed
# - Crystal system: tetragonal
# - Formation energy: 704.6 kJ/mol of formula units
data_TaTlCo2Tc
_cell_length_a 4.444
_cell_length_b 4.444
_cell_length_c 4.718
_cell_angle_alpha 90.00
_cell_angle_beta 90.00
_cell_angle_gamma 90.00
_symmetry_space_group_name_H-M 'P 4/m m m'
_symmetry_Int_Tables_number 123
_symmetry_space_group_name_Hall '-P 4 2'
loop_
_atom_site_label
_atom_site_fract_x
_atom_site_fract_y
_atom_site_fract_z
Ta1 0.000 0.000 0.000
Tl1 0.500 0.500 0.500
Co1 0.000 0.500 0.000
Tc1 0.000 0.000 0.500

# TaCo2Te GGA-PBEsol relaxed
# - Crystal system: tetragonal
# - ΔE_f (raw): 0.1321 eV/atom
data_TaCo2Te
_cell_length_a 3.948
_cell_length_b 3.948
_cell_length_c 3.642
_cell_angle_alpha 90.00
_cell_angle_beta 90.00
_cell_angle_gamma 90.00
_symmetry_space_group_name_H-M 'P 4/m m m'
_symmetry_Int_Tables_number 123
_symmetry_space_group_name_Hall '-P 4 2'
loop_
_atom_site_label
_atom_site_fract_x
_atom_site_fract_y
_atom_site_fract_z
Ta1 0.000 0.000 0.000
Co1 0.000 0.500 0.500
Te1 0.500 0.500 0.000

# TaCoTe3 GGA-PBEsol relaxed
# - Crystal system: cubic
# - Excess energy over the best structure of this formula in the dataset: 0.893 eV per formula unit
# - ΔE_f (raw): 1.0040 eV/atom
data_TaCoTe3
_cell_length_a 5.318
_cell_length_b 5.318
_cell_length_c 5.318
_cell_angle_alpha 90.00
_cell_angle_beta 90.00
_cell_angle_gamma 90.00
_symmetry_space_group_name_H-M 'P m -3 m'
_symmetry_Int_Tables_number 221
_symmetry_space_group_name_Hall '-P 4 2 3'
loop_
_atom_site_label
_atom_site_fract_x
_atom_site_fract_y
_atom_site_fract_z
Ta1 0.000 0.000 0.000
Co1 0.500 0.500 0.500
Te1 0.000 0.000 0.500

# TaCo2Te GGA-PBEsol relaxed
# - Crystal system: tetragonal
# - ΔE_f (raw): 0.1919 eV/atom
data_TaCo2Te
_cell_length_a 3.949
_cell_length_b 3.949
_cell_length_c 7.331
_cell_angle_alpha 90.00
_cell_angle_beta 90.00
_cell_angle_gamma 90.00
_symmetry_space_group_name_H-M 'I 4/m m m'
_symmetry_Int_Tables_number 139
_symmetry_space_group_name_Hall '-I 4 2'
loop_
_atom_site_label
_atom_site_fract_x
_atom_site_fract_y
_atom_site_fract_z
Ta1 0.000 0.000 0.000
Co1 0.000 0.500 0.250
Te1 0.000 0.000 0.500

# TaCo2Te2 GGA-PBEsol relaxed
# - Crystal system: orthorhombic
# - ΔE_f (raw): -0.3600 eV/atom
data_TaCo2Te2
_cell_length_a 18.002
_cell_length_b 6.462
_cell_length_c 6.437
_cell_angle_alpha 90.00
_cell_angle_beta 90.00
_cell_angle_gamma 90.00
_symmetry_space_group_name_H-M 'P n m a'
_symmetry_Int_Tables_number 62
loop_
_symmetry_equiv_pos_as_xyz
'x,y,z'
'-x,-y,-z'
'-x+1/2,-y,z+1/2'
'x+1/2,y,-z+1/2'
'x+1/2,-y+1/2,-z+1/2'
'-x+1/2,y+1/2,z+1/2'
'-x,y+1/2,-z'
'x,-y+1/2,z'
loop_
_atom_site_label
_atom_site_fract_x
_atom_site_fract_y
_atom_site_fract_z
Ta1 0.224 0.250 0.150
Ta2 0.236 0.750 0.151
Co1 0.182 0.535 0.454
Co2 0.182 0.536 0.847
Te1 0.090 0.750 0.649
Te2 0.094 0.502 0.150
Te3 0.109 0.250 0.652

# TaCoTe3 GGA-PBEsol relaxed
# - Crystal system: cubic
# - Excess energy over the best structure of this formula in the dataset: 0.000 eV per formula unit
# - ΔE_f (raw): 0.8254 eV/atom
data_TaCoTe3
_cell_length_a 4.847
_cell_length_b 4.847
_cell_length_c 4.847
_cell_angle_alpha 90.00
_cell_angle_beta 90.00
_cell_angle_gamma 90.00
_symmetry_space_group_name_H-M 'P m -3 m'
_symmetry_Int_Tables_number 221
_symmetry_space_group_name_Hall '-P 4 2 3'
loop_
_atom_site_label
_atom_site_fract_x
_atom_site_fract_y
_atom_site_fract_z
Ta1 0.000 0.000 0.000
Co1 0.500 0.500 0.500
Te1 0.000 0.500 0.500

# Ta2TlCo GGA-PBEsol relaxed
# - Crystal system: orthorhombic
# - Formation energy: 106.9 kJ/mol of formula units
data_Ta2TlCo
_cell_length_a 3.409
_cell_length_b 4.369
_cell_length_c 8.816
_cell_angle_alpha 90.00
_cell_angle_beta 90.00
_cell_angle_gamma 90.00
_symmetry_space_group_name_H-M 'I m m m'
_symmetry_Int_Tables_number 71
_symmetry_space_group_name_Hall '-I 2 2'
loop_
_atom_site_label
_atom_site_fract_x
_atom_site_fract_y
_atom_site_fract_z
Ta1 0.000 0.000 0.231
Tl1 0.000 0.500 0.000
Co1 0.000 0.500 0.500

# TaTlCo3 GGA-PBEsol relaxed
# - Crystal system: cubic
# - Formation energy: 974.2 kJ/mol of formula units
data_TaTlCo3
_cell_length_a 4.522
_cell_length_b 4.522
_cell_length_c 4.522
_cell_angle_alpha 90.00
_cell_angle_beta 90.00
_cell_angle_gamma 90.00
_symmetry_space_group_name_H-M 'P m -3 m'
_symmetry_Int_Tables_number 221
_symmetry_space_group_name_Hall '-P 4 2 3'
loop_
_atom_site_label
_atom_site_fract_x
_atom_site_fract_y
_atom_site_fract_z
Ta1 0.000 0.000 0.000
Tl1 0.500 0.500 0.500
Co1 0.000 0.500 0.500

# Ta4TlCo GGA-PBEsol relaxed
# - Crystal system: cubic
# - Formation energy: 401.7 kJ/mol of formula units
data_Ta4TlCo
_cell_length_a 7.587
_cell_length_b 7.587
_cell_length_c 7.587
_cell_angle_alpha 90.00
_cell_angle_beta 90.00
_cell_angle_gamma 90.00
_symmetry_space_group_name_H-M 'F -4 3 m'
_symmetry_Int_Tables_number 216
_symmetry_space_group_name_Hall 'F -4 2 3'
loop_
_atom_site_label
_atom_site_fract_x
_atom_site_fract_y
_atom_site_fract_z
Ta1 0.125 0.125 0.125
Tl1 0.250 0.250 0.750
Co1 0.000 0.000 0.500

# TaCo4W GGA-PBEsol relaxed
# - Crystal system: cubic
# - Formation energy: -78.0 kJ/mol of formula units
data_TaCo4W
_cell_length_a 6.582
_cell_length_b 6.582
_cell_length_c 6.582
_cell_angle_alpha 90.00
_cell_angle_beta 90.00
_cell_angle_gamma 90.00
_symmetry_space_group_name_H-M 'F -4 3 m'
_symmetry_Int_Tables_number 216
_symmetry_space_group_name_Hall 'F -4 2 3'
loop_
_atom_site_label
_atom_site_fract_x
_atom_site_fract_y
_atom_site_fract_z
Ta1 0.000 0.000 0.000
Co1 0.125 0.125 0.375
W1 0.250 0.250 0.750

# TaCo2W GGA-PBEsol relaxed
# - Crystal system: orthorhombic
# - Formation energy: -18.2 kJ/mol of formula units
data_TaCo2W
_cell_length_a 5.382
_cell_length_b 7.240
_cell_length_c 2.696
_cell_angle_alpha 90.00
_cell_angle_beta 90.00
_cell_angle_gamma 90.00
_symmetry_space_group_name_H-M 'C m m m'
_symmetry_Int_Tables_number 65
_symmetry_space_group_name_Hall '-C 2 2'
loop_
_atom_site_label
_atom_site_fract_x
_atom_site_fract_y
_atom_site_fract_z
Ta1 0.000 0.000 0.000
Co1 0.250 0.250 0.500
W1 0.000 0.500 0.000

# YTa2Co2 GGA-PBEsol relaxed
# - Crystal system: tetragonal
# - Formation energy: -77.3 kJ/mol of formula units
data_YTa2Co2
_cell_length_a 4.216
_cell_length_b 4.216
_cell_length_c 9.755
_cell_angle_alpha 90.00
_cell_angle_beta 90.00
_cell_angle_gamma 90.00
_symmetry_space_group_name_H-M 'I 4/m m m'
_symmetry_Int_Tables_number 139
_symmetry_space_group_name_Hall '-I 4 2'
loop_
_atom_site_label
_atom_site_fract_x
_atom_site_fract_y
_atom_site_fract_z
Y1 0.000 0.000 0.000
Ta1 0.000 0.500 0.250
Co1 0.000 0.000 0.379